# GGA-PBE Bi5Pb2Au4, optimized geometry
# E above lowest polymorph: 124 meV/atom
data_Bi5Pb2Au4
_cell_length_a 14.786
_cell_length_b 6.699
_cell_length_c 8.162
_cell_angle_alpha 90.00
_cell_angle_beta 122.98
_cell_angle_gamma 90.00
_space_group_name_H-M_alt 'C 1 2/m 1'
_space_group_IT_number 12
_space_group_name_Hall '-C 2y'
loop_
_atom_site_label
_atom_site_fract_x
_atom_site_fract_y
_atom_site_fract_z
Bi1 0.000 0.000 0.000
Bi2 0.076 0.246 0.748
Pb1 0.203 0.500 0.204
Au1 0.125 0.500 0.460
Au2 0.229 0.000 0.138

DFT (GGA-PBE) results for a geometry-optimized Bi2PbAu structure.

```
data_Bi2PbAu
_cell_length_a 4.963
_cell_length_b 4.963
_cell_length_c 4.566
_cell_angle_alpha 90.00
_cell_angle_beta 90.00
_cell_angle_gamma 90.00
_space_group_name_H-M_alt 'P 4/m m m'
_space_group_IT_number 123
_space_group_name_Hall '-P 4 2'
loop_
_atom_site_label
_atom_site_fract_x
_atom_site_fract_y
_atom_site_fract_z
Bi1 0.000 0.500 0.000
Pb1 0.000 0.000 0.500
Au1 0.500 0.500 0.500
```

# GGA-PBE Bi3PbAu, optimized geometry
# E above lowest polymorph: 0 meV/atom
data_Bi3PbAu
_cell_length_a 5.035
_cell_length_b 9.318
_cell_length_c 6.865
_cell_angle_alpha 90.00
_cell_angle_beta 106.96
_cell_angle_gamma 90.00
_space_group_name_H-M_alt 'P 1 21/m 1'
_space_group_IT_number 11
_space_group_name_Hall '-P 2yb'
loop_
_atom_site_label
_atom_site_fract_x
_atom_site_fract_y
_atom_site_fract_z
Bi1 0.107 0.250 0.256
Bi2 0.373 0.505 0.713
Pb1 0.115 0.750 0.285
Au1 0.498 0.250 0.990

Fermi-level density of states, record by record: 9.006; 2.313; 3.678 states/eV/cell
Calculated formation energy, record by record: 0.125; 0.095; 0.010 eV per atom
Raw total energy, record by record: -3.505; -3.592; -3.715 eV per atom